(1)
A plane-wave DFT calculation with GGA-PBEsol was carried out for a geometry-optimized BaBeSb2 structure.

raw total energy: -15.0 eV/cell
volume: 27.019 A^3/atom

Cell: 6.116 6.116 6.116 Å, 136.23 136.23 63.63°
Element x y z (fractional)
Ba: 0.000 0.000 0.000
Be: 0.500 0.500 0.000
Sb: 0.250 0.750 0.500
Sb: 0.750 0.250 0.500

=====

(2)
A plane-wave DFT calculation with GGA-PBEsol was carried out for a geometry-optimized BaBeSb2 structure.

raw total energy: -15.1 eV/cell
volume: 26.640 A^3/atom

Cell: 4.709 4.709 4.805 Å, 90.00 90.00 90.00°
Element x y z (fractional)
Ba: 0.000 0.000 0.000
Be: 0.500 0.500 0.000
Sb: 0.000 0.500 0.500
Sb: 0.500 0.000 0.500

=====

(3)
A plane-wave DFT calculation with GGA-PBEsol was carried out for a geometry-optimized BaBeSb2 structure.

raw total energy: -15.5 eV/cell
volume: 28.727 A^3/atom

Cell: 6.428 6.428 6.428 Å, 143.05 133.33 60.96°
Element x y z (fractional)
Ba: 0.000 0.000 0.000
Be: 0.245 0.745 0.500
Sb: 0.369 0.369 0.000
Sb: 0.727 0.227 0.500

=====

(4)
A plane-wave DFT calculation with GGA-PBEsol was carried out for a geometry-optimized BaBe4Sb structure.

raw total energy: -18.7 eV/cell
volume: 17.281 A^3/atom

Cell: 5.273 5.273 5.273 Å, 60.00 60.00 60.00°
Element x y z (fractional)
Ba: 0.000 0.000 0.000
Be: 0.380 0.380 0.380
Be: 0.380 0.380 0.861
Be: 0.380 0.861 0.380
Be: 0.861 0.380 0.380
Sb: 0.750 0.750 0.750

=====

(5)
A plane-wave DFT calculation with GGA-PBEsol was carried out for a geometry-optimized Ba2BeSb structure.

ΔE to the lowest computed polymorph: 0 meV/atom
raw total energy: -14.1 eV/cell
volume: 30.406 A^3/atom

Cell: 6.477 6.477 6.477 Å, 143.08 131.08 62.84°
Element x y z (fractional)
Ba: 0.000 0.000 0.000
Ba: 0.697 0.197 0.500
Be: 0.280 0.780 0.500
Sb: 0.409 0.409 0.000

=====

(6)
A plane-wave DFT calculation with GGA-PBEsol was carried out for a geometry-optimized Ba2BeSb structure.

ΔE to the lowest computed polymorph: 673 meV/atom
raw total energy: -22.9 eV/cell
volume: 46.306 A^3/atom

Cell: 10.698 10.698 10.698 Å, 146.55 146.55 48.03°
Element x y z (fractional)
Ba: 0.111 0.625 0.986
Ba: 0.375 0.361 0.486
Ba: 0.639 0.125 0.014
Ba: 0.875 0.889 0.514
Be: 0.000 0.000 0.000
Be: 0.750 0.250 0.500
Sb: 0.250 0.750 0.500
Sb: 0.500 0.500 0.000

=====

(7)
A plane-wave DFT calculation with GGA-PBEsol was carried out for a geometry-optimized Ba2BeSb structure.

ΔE to the lowest computed polymorph: 344 meV/atom
raw total energy: -12.7 eV/cell
volume: 36.149 A^3/atom

Cell: 3.957 3.957 9.927 Å, 90.00 90.00 111.54°
Element x y z (fractional)
Ba: 0.000 0.000 0.000
Ba: 0.500 0.500 0.405
Be: 0.000 0.000 0.643
Sb: 0.500 0.500 0.753

=====

(8)
A plane-wave DFT calculation with GGA-PBEsol was carried out for a geometry-optimized BaScBe4 structure.

energy of formation: 40 kJ per mole of atoms
raw total energy: -22.3 eV/cell
volume: 15.423 A^3/atom

Cell: 5.077 5.077 5.077 Å, 60.00 60.00 60.00°
Element x y z (fractional)
Ba: 0.000 0.000 0.000
Sc: 0.750 0.750 0.750
Be: 0.384 0.384 0.384
Be: 0.384 0.384 0.849
Be: 0.384 0.849 0.384
Be: 0.849 0.384 0.384

=====

(9)
A plane-wave DFT calculation with GGA-PBEsol was carried out for a geometry-optimized Ba2ScBe structure.

energy of formation: 66 kJ per mole of atoms
raw total energy: -12.1 eV/cell
volume: 33.250 A^3/atom

Cell: 10.940 10.940 10.940 Å, 19.93 19.93 19.93°
Element x y z (fractional)
Ba: 0.240 0.240 0.240
Ba: 0.760 0.760 0.760
Sc: 0.000 0.000 0.000
Be: 0.500 0.500 0.500

=====

(10)
A plane-wave DFT calculation with GGA-PBEsol was carried out for a geometry-optimized BaBe2Se structure.

raw total energy: -14.8 eV/cell
volume: 22.321 A^3/atom

Cell: 4.418 4.418 6.063 Å, 101.35 101.35 50.63°
Element x y z (fractional)
Ba: 0.000 0.000 0.000
Be: 0.386 0.386 0.368
Be: 0.677 0.677 0.402
Se: 0.240 0.240 0.629

=====

(11)
A plane-wave DFT calculation with GGA-PBEsol was carried out for a geometry-optimized BaBeSe3 structure.

raw total energy: -13.0 eV/cell
volume: 45.375 A^3/atom

Cell: 6.099 6.099 6.099 Å, 90.00 90.00 90.00°
Element x y z (fractional)
Ba: 0.000 0.000 0.000
Be: 0.500 0.500 0.500
Se: 0.000 0.000 0.500
Se: 0.000 0.500 0.000
Se: 0.500 0.000 0.000

=====

(12)
A plane-wave DFT calculation with GGA-PBEsol was carried out for a geometry-optimized Ba2BeSe structure.

raw total energy: -26.9 eV/cell
volume: 37.793 A^3/atom

Cell: 7.324 7.324 7.324 Å, 110.04 110.04 108.34°
Element x y z (fractional)
Ba: 0.118 0.125 0.493
Ba: 0.375 0.882 0.007
Ba: 0.632 0.625 0.507
Ba: 0.875 0.368 0.993
Be: 0.250 0.750 0.500
Be: 0.500 0.500 0.000
Se: 0.000 0.000 0.000
Se: 0.750 0.250 0.500

=====

(13)
A plane-wave DFT calculation with GGA-PBEsol was carried out for a geometry-optimized BaBeSi2 structure.

raw total energy: -14.8 eV/cell
volume: 20.861 A^3/atom

Cell: 5.603 5.603 2.971 Å, 90.00 90.00 116.54°
Element x y z (fractional)
Ba: 0.000 0.000 0.000
Be: 0.500 0.500 0.000
Si: 0.000 0.500 0.500
Si: 0.500 0.000 0.500

=====

(14)
A plane-wave DFT calculation with GGA-PBEsol was carried out for a geometry-optimized BaBeSi2 structure.

raw total energy: -17.9 eV/cell
volume: 20.890 A^3/atom

Cell: 4.104 4.104 6.332 Å, 106.63 106.63 55.90°
Element x y z (fractional)
Ba: 0.000 0.000 0.000
Be: 0.765 0.765 0.416
Si: 0.205 0.205 0.597
Si: 0.438 0.438 0.393

=====

(15)
A plane-wave DFT calculation with GGA-PBEsol was carried out for a geometry-optimized BaBeSi2 structure.

raw total energy: -15.3 eV/cell
volume: 21.067 A^3/atom

Cell: 4.320 4.320 4.515 Å, 90.00 90.00 90.00°
Element x y z (fractional)
Ba: 0.000 0.000 0.000
Be: 0.500 0.500 0.000
Si: 0.000 0.500 0.500
Si: 0.500 0.000 0.500

=====

(16)
A plane-wave DFT calculation with GGA-PBEsol was carried out for a geometry-optimized BaBeSi2 structure.

raw total energy: -17.1 eV/cell
volume: 19.299 A^3/atom

Cell: 3.106 3.570 6.961 Å, 90.00 90.00 90.00°
Element x y z (fractional)
Ba: 0.000 0.000 0.000
Be: 0.000 0.000 0.500
Si: 0.500 0.500 0.335
Si: 0.500 0.500 0.665

=====

(17)
A plane-wave DFT calculation with GGA-PBEsol was carried out for a geometry-optimized Ba2Be2Sn structure.

energy of formation: 16 kJ per mole of atoms
raw total energy: -15.7 eV/cell
volume: 28.139 A^3/atom

Cell: 5.681 5.681 5.681 Å, 111.42 111.42 105.64°
Element x y z (fractional)
Ba: 0.250 0.750 0.500
Ba: 0.750 0.250 0.500
Be: 0.147 0.147 0.000
Be: 0.853 0.853 0.000
Sn: 0.500 0.500 0.000

=====

(18)
A plane-wave DFT calculation with GGA-PBEsol was carried out for a geometry-optimized BaSrBe2 structure.

energy of formation: 55 kJ per mole of atoms
raw total energy: -9.7 eV/cell
volume: 27.257 A^3/atom

Cell: 3.835 3.835 7.414 Å, 90.00 90.00 90.00°
Element x y z (fractional)
Ba: 0.000 0.000 0.000
Sr: 0.000 0.000 0.500
Be: 0.500 0.500 0.296
Be: 0.500 0.500 0.704

=====

(19)
A plane-wave DFT calculation with GGA-PBEsol was carried out for a geometry-optimized Ba2TaBe structure.

energy of formation: 80 kJ per mole of atoms
raw total energy: -17.6 eV/cell
volume: 27.704 A^3/atom

Cell: 6.732 6.732 6.732 Å, 151.05 130.92 57.99°
Element x y z (fractional)
Ba: 0.000 0.000 0.000
Ba: 0.702 0.202 0.500
Ta: 0.404 0.404 0.000
Be: 0.256 0.756 0.500

=====

(20)
A plane-wave DFT calculation with GGA-PBEsol was carried out for a geometry-optimized Ba2TaBe structure.

energy of formation: 105 kJ per mole of atoms
raw total energy: -16.5 eV/cell
volume: 26.470 A^3/atom

Cell: 3.267 3.267 9.920 Å, 90.00 90.00 90.00°
Element x y z (fractional)
Ba: 0.000 0.000 0.231
Ba: 0.000 0.000 0.769
Ta: 0.500 0.500 0.500
Be: 0.500 0.500 0.000

=====

(21)
A plane-wave DFT calculation with GGA-PBEsol was carried out for a geometry-optimized BaBe2Tc structure.

energy of formation: 73 kJ per mole of atoms
raw total energy: -36.8 eV/cell
volume: 19.934 A^3/atom

Cell: 8.642 8.642 8.642 Å, 150.15 150.15 42.72°
Element x y z (fractional)
Ba: 0.375 0.625 0.750
Ba: 0.625 0.375 0.250
Be: 0.000 0.000 0.000
Be: 0.000 0.000 0.500
Be: 0.000 0.500 0.000
Be: 0.500 0.000 0.500
Tc: 0.125 0.875 0.250
Tc: 0.875 0.125 0.750

=====

(22)
A plane-wave DFT calculation with GGA-PBEsol was carried out for a geometry-optimized Ba2TiBeTc structure.

energy of formation: 94 kJ per mole of atoms
raw total energy: -23.0 eV/cell
volume: 31.899 A^3/atom

Cell: 5.935 5.935 4.527 Å, 90.00 90.00 90.00°
Element x y z (fractional)
Ba: 0.000 0.500 0.000
Ba: 0.500 0.000 0.000
Ti: 0.000 0.000 0.500
Be: 0.500 0.500 0.500
Tc: 0.000 0.000 0.000

=====

(23)
A plane-wave DFT calculation with GGA-PBEsol was carried out for a geometry-optimized BaBeTe2 structure.

raw total energy: -16.5 eV/cell
volume: 33.684 A^3/atom

Cell: 5.056 4.291 6.702 Å, 90.00 112.08 90.00°
Element x y z (fractional)
Ba: 0.000 0.000 0.000
Be: 0.621 0.500 0.244
Te: 0.433 0.500 0.866
Te: 0.715 0.000 0.432

=====

(24)
A plane-wave DFT calculation with GGA-PBEsol was carried out for a geometry-optimized Ba2BeTe structure.

ΔE to the lowest computed polymorph: 0 meV/atom
raw total energy: -13.6 eV/cell
volume: 34.717 A^3/atom

Cell: 6.518 6.518 5.265 Å, 99.18 99.18 39.05°
Element x y z (fractional)
Ba: 0.000 0.000 0.000
Ba: 0.729 0.729 0.580
Be: 0.274 0.274 0.110
Te: 0.439 0.439 0.463

=====

(25)
A plane-wave DFT calculation with GGA-PBEsol was carried out for a geometry-optimized Ba2BeTe structure.

ΔE to the lowest computed polymorph: 7 meV/atom
raw total energy: -13.5 eV/cell
volume: 33.946 A^3/atom

Cell: 4.173 4.173 7.799 Å, 90.00 90.00 90.00°
Element x y z (fractional)
Ba: 0.000 0.000 0.243
Ba: 0.000 0.000 0.757
Be: 0.500 0.500 0.000
Te: 0.500 0.500 0.500

=====

(26)
A plane-wave DFT calculation with GGA-PBEsol was carried out for a geometry-optimized Ba2BeTe structure.

ΔE to the lowest computed polymorph: 93 meV/atom
raw total energy: -13.2 eV/cell
volume: 40.359 A^3/atom

Cell: 8.809 8.809 8.809 Å, 31.06 31.06 31.06°
Element x y z (fractional)
Ba: 0.250 0.250 0.250
Ba: 0.750 0.750 0.750
Be: 0.500 0.500 0.500
Te: 0.000 0.000 0.000

=====

(27)
A plane-wave DFT calculation with GGA-PBEsol was carried out for a geometry-optimized BaBeTe2 structure.

raw total energy: -16.6 eV/cell
volume: 34.764 A^3/atom

Cell: 6.867 6.867 5.087 Å, 93.46 93.46 35.51°
Element x y z (fractional)
Ba: 0.000 0.000 0.000
Be: 0.280 0.280 0.240
Te: 0.433 0.433 0.491
Te: 0.717 0.717 0.048

=====

(28)
A plane-wave DFT calculation with GGA-PBEsol was carried out for a geometry-optimized BaBeTe2 structure.

raw total energy: -14.1 eV/cell
volume: 28.622 A^3/atom

Cell: 5.211 5.211 4.265 Å, 90.00 90.00 98.61°
Element x y z (fractional)
Ba: 0.000 0.000 0.000
Be: 0.500 0.500 0.000
Te: 0.000 0.500 0.500
Te: 0.500 0.000 0.500

=====

(29)
A plane-wave DFT calculation with GGA-PBEsol was carried out for a geometry-optimized BaBeTe2 structure.

raw total energy: -15.7 eV/cell
volume: 31.146 A^3/atom

Cell: 4.423 3.821 7.461 Å, 90.00 98.82 90.00°
Element x y z (fractional)
Ba: 0.000 0.000 0.000
Be: 0.500 0.000 0.500
Te: 0.430 0.500 0.721
Te: 0.570 0.500 0.279

=====

(30)
A plane-wave DFT calculation with GGA-PBEsol was carried out for a geometry-optimized BaBeTe2W structure.

raw total energy: -16.2 eV/cell
volume: 40.296 A^3/atom

Cell: 6.207 6.207 5.229 Å, 90.00 90.00 90.00°
Element x y z (fractional)
Ba: 0.000 0.000 0.000
Be: 0.000 0.000 0.500
Te: 0.000 0.500 0.000
Te: 0.500 0.000 0.000
W: 0.500 0.500 0.500